Entry 1:
TbCd4Pb | GGA-PBE | relaxed

Cell and atoms, written as POSCAR:
```
TbCd4Pb
1.0
-4.069 2.417 -1.879
-3.690 -2.471 4.807
0.026 5.867 7.489
Pb Cd Tb
2 8 2
direct
0.750 0.619 0.261
0.250 0.381 0.739
0.250 0.807 0.414
0.750 0.721 0.586
0.250 0.279 0.414
0.750 0.545 0.919
0.750 0.035 0.919
0.750 0.193 0.586
0.250 0.965 0.081
0.250 0.455 0.081
0.750 0.122 0.255
0.250 0.878 0.745
```

Output
- distance to the lowest polymorph of the same formula (eV per formula unit) = 0.00
- calculated total energy (eV per atom) = -2.21
- SG = Cmcm, No. 63
- crystal system = orthorhombic



Entry 2:
Co2SiRh | GGA-PBE | relaxed

Cell and atoms, written as POSCAR:
```
Co2SiRh
1.0
-2.549 -1.120 -2.440
1.516 -2.152 -0.596
-1.459 -3.601 3.176
Si Rh Co
1 1 2
direct
0.500 0.945 0.735
0.000 0.544 0.537
0.000 0.803 0.019
0.500 0.208 0.209
```

Output
- calculated total energy (eV per atom) = -7.03
- SG = Amm2, No. 38
- crystal system = orthorhombic
- energy relative to the elements, uncorrected (eV/atom) = -0.286



Entry 3:
La2TlP | GGA-PBE | relaxed

Cell and atoms, written as POSCAR:
```
La2TlP
1.0
4.471 0.000 0.000
0.000 4.477 0.000
0.000 0.000 6.291
La P Tl
2 1 1
direct
0.000 0.000 0.875
0.500 0.500 0.375
0.000 0.000 0.375
0.500 0.500 0.875
```

Output
- distance to the lowest polymorph of the same formula (eV per formula unit) = 0.99
- calculated total energy (eV per atom) = -5.12
- SG = P4/mmm, No. 123
- crystal system = tetragonal



Entry 4:
MgOs3Se | GGA-PBE | relaxed

Cell and atoms, written as POSCAR:
```
MgOs3Se
1.0
-3.167 -2.531 1.977
2.280 0.182 3.887
-2.261 3.729 1.152
Mg Os Se
1 3 1
direct
0.000 0.000 0.000
0.000 0.000 0.500
0.500 0.000 0.000
0.000 0.500 0.000
0.500 0.500 0.500
```

Output
- distance to the lowest polymorph of the same formula (eV per formula unit) = 5.54
- calculated total energy (eV per atom) = -5.22
- SG = Pm-3m, No. 221
- crystal system = cubic
- energy relative to the elements, uncorrected (eV/atom) = 2.530



Entry 5:
Fe5Tc | GGA-PBE | relaxed

Cell and atoms, written as POSCAR:
```
Fe5Tc
1.0
-2.081 -1.548 -1.209
1.931 -1.289 -1.673
1.112 -6.278 6.121
Fe Tc
5 1
direct
0.000 0.000 0.178
0.500 0.500 0.338
0.000 0.000 0.822
0.000 0.000 0.500
0.500 0.500 0.662
0.500 0.500 0.000
```

Output
- distance to the lowest polymorph of the same formula (eV per formula unit) = 0.00
- calculated total energy (eV per atom) = -8.75
- SG = P4/mmm, No. 123
- crystal system = tetragonal



Entry 6:
Ni2OsCl | GGA-PBE | relaxed

Cell and atoms, written as POSCAR:
```
Ni2OsCl
1.0
-3.363 -1.080 -1.328
1.645 -2.787 -1.899
-0.437 -2.271 2.955
Ni Cl Os
2 1 1
direct
0.000 0.500 0.500
0.000 0.000 0.000
0.500 0.000 0.500
0.500 0.500 0.000
```

Output
- distance to the lowest polymorph of the same formula (eV per formula unit) = 3.32
- calculated total energy (eV per atom) = -5.06
- SG = P4/mmm, No. 123
- crystal system = tetragonal
- energy relative to the elements, uncorrected (eV/atom) = 1.100



Entry 7:
Tb3PuHg4 | GGA-PBE | relaxed

Cell and atoms, written as POSCAR:
```
Tb3PuHg4
1.0
-2.289 -2.890 -0.527
1.153 -0.269 -3.531
10.954 -9.461 4.298
Pu Tb Hg
1 3 4
direct
0.500 0.500 0.000
0.500 0.500 0.252
0.500 0.500 0.748
0.500 0.500 0.500
0.000 0.000 0.867
0.000 0.000 0.376
0.000 0.000 0.624
0.000 0.000 0.133
```

Output
- calculated total energy (eV per atom) = -4.06
- SG = P4/mmm, No. 123
- crystal system = tetragonal



Entry 8:
Pa2NbTcN6 | GGA-PBE | relaxed

Cell and atoms, written as POSCAR:
```
Pa2NbTcN6
1.0
-1.709 -4.430 1.088
1.561 -1.787 -4.823
4.785 -1.344 2.046
N Pa Tc Nb
6 2 1 1
direct
0.738 0.752 0.752
0.738 0.248 0.248
0.199 0.000 0.000
0.738 0.752 0.248
0.738 0.248 0.752
0.182 0.500 0.500
0.986 0.000 0.500
0.986 0.500 0.000
0.568 0.000 0.000
0.575 0.500 0.500
```

Output
- calculated total energy (eV per atom) = -9.78
- SG = P4mm, No. 99
- crystal system = tetragonal
- energy relative to the elements, uncorrected (eV/atom) = -0.846



Entry 9:
SmHo2Hg8 | GGA-PBE | relaxed

Cell and atoms, written as POSCAR:
```
SmHo2Hg8
1.0
4.943 0.000 0.000
0.000 7.253 0.227
-2.471 -2.862 7.486
Hg Ho Sm
8 2 1
direct
0.031 0.730 0.062
0.850 0.810 0.701
0.150 0.190 0.299
0.324 0.095 0.648
0.969 0.270 0.938
0.676 0.905 0.352
0.598 0.461 0.196
0.402 0.539 0.804
0.785 0.346 0.570
0.215 0.654 0.430
0.500 0.000 0.000
```

Output
- distance to the lowest polymorph of the same formula (eV per formula unit) = 0.00
- calculated total energy (eV per atom) = -1.80
- SG = C2/m, No. 12
- crystal system = monoclinic



Entry 10:
KSc2Be | GGA-PBE | relaxed

Cell and atoms, written as POSCAR:
```
KSc2Be
1.0
1.837 0.000 12.318
-0.918 1.591 12.318
-0.918 -1.591 12.318
Be Sc K
1 2 1
direct
0.000 0.000 0.000
0.926 0.926 0.926
0.074 0.074 0.074
0.500 0.500 0.500
```

Output
- calculated total energy (eV per atom) = -3.33
- SG = R-3m, No. 166
- crystal system = trigonal



Entry 11:
ThSbI | GGA-PBE | relaxed

Cell and atoms, written as POSCAR:
```
ThSbI
1.0
4.503 0.000 0.000
0.000 4.503 0.000
0.000 0.000 13.259
Sb I Th
2 2 2
direct
0.750 0.750 0.612
0.250 0.250 0.388
0.250 0.250 0.859
0.750 0.750 0.141
0.750 0.750 0.362
0.250 0.250 0.638
```

Output
- distance to the lowest polymorph of the same formula (eV per formula unit) = 0.02
- calculated total energy (eV per atom) = -5.22
- SG = P4/nmm, No. 129
- crystal system = tetragonal
- energy relative to the elements, uncorrected (eV/atom) = -0.859



Entry 12:
TlZnBr3 | GGA-PBE | relaxed

Cell and atoms, written as POSCAR:
```
TlZnBr3
1.0
-5.212 1.604 -1.516
-1.723 -5.387 0.223
-1.379 0.667 5.448
Br Tl Zn
3 1 1
direct
0.000 0.000 0.500
0.500 0.000 0.000
0.000 0.500 0.000
0.000 0.000 0.000
0.500 0.500 0.500
```

Output
- distance to the lowest polymorph of the same formula (eV per formula unit) = 3.71
- calculated total energy (eV per atom) = -1.86
- SG = Pm-3m, No. 221
- crystal system = cubic
- energy relative to the elements, uncorrected (eV/atom) = -0.131



Number 9 is which compound? SmHo2Hg8